{"formula": "Sn4BiTeSe2", "functional": "PBE-GGA", "state": "optimized geometry", "cell": [[7.5745, 0.0000, 0.0000], [0.0000, 4.3843, 0.0000], [-2.5453, 0.0000, 7.1805]], "species": ["Sn", "Sn", "Sn", "Sn", "Bi", "Te", "Se", "Se"], "fractional_positions": [[0.2341, 0.0000, 0.2437], [0.2378, 0.5000, 0.7487], [0.7622, 0.5000, 0.2513], [0.7659, 0.0000, 0.7563], [0.5000, 0.0000, 0.0000], [0.5000, 0.5000, 0.5000], [0.0000, 0.0000, 0.5000], [0.0000, 0.5000, 0.0000]], "spacegroup": "P2/m", "formation_energy_uncorrected_ev_per_atom": -0.22, "e_tot_ev_per_cell": -31.76, "vol_a3_per_cell": 238.46}